(1)
## Mn2Ni2H3 (PBE)

Data for Mn2Ni2H3 after structural relaxation.

Cell: 2.6869 4.5899 4.6219 Å, 101.97 106.90 90.00°
With the nearest neighbours (Å) after each atom.
Sites, in units of the cell vectors:
Mn1 0.3772 0.1460 0.7544  5 H 1.86-1.94
Mn2 0.6228 0.8540 0.2456  5 H 1.86-1.94
Ni1 0.1226 0.3693 0.2452  4 H 1.80-1.93
Ni2 0.8774 0.6307 0.7548  4 H 1.80-1.93
H1 0.0000 0.0000 0.0000  2 Ni 1.80, 4 Mn 1.94
H2 0.2477 0.7539 0.4953  3 Mn 1.86-1.91, 3 Ni 1.87-1.93
H3 0.7523 0.2461 0.5047  3 Mn 1.86-1.91, 3 Ni 1.87-1.93

Computed properties:
The raw total energy is -5.73 eV/atom. Its space group is No. 12. The calculation puts the mass density at 7182 kg/m³.

=====

(2)
## MnNi3H (PBE)

Data for MnNi3H after structural relaxation.

Cell: 4.4797 5.0895 4.4797 Å, 90.00 110.93 90.00°
With the nearest neighbours (Å) after each atom.
Sites, in units of the cell vectors:
Ni1 0.7459 0.0000 0.2459  2 H 1.82
Ni2 0.2541 0.0000 0.7541  2 H 1.82
Ni3 0.7459 0.5000 0.2459  2 H 1.82
Ni4 0.2541 0.5000 0.7541  2 H 1.82
Ni5 0.2556 0.2500 0.2444  1 H 1.75
Ni6 0.7444 0.7500 0.7556  1 H 1.75
Mn1 0.7452 0.2500 0.7548  1 H 2.02
Mn2 0.2548 0.7500 0.2452  1 H 2.02
H1 0.0190 0.2500 0.4809  5 Ni 1.75-1.82
H2 0.9810 0.7500 0.5191  5 Ni 1.75-1.82

Computed properties:
The raw total energy is -6.05 eV/atom. As for the energy above the lowest structure with this stoichiometry: 22.5 meV per atom. Its space group is No. 63. The calculation puts the mass density at 8078 kg/m³.

=====

(3)
## MnNi6H4 (PBE)

Data for MnNi6H4 after structural relaxation.

Cell: 4.9548 4.9548 5.5205 Å, 56.38 56.38 80.02°
With the nearest neighbours (Å) after each atom.
Sites, in units of the cell vectors:
Mn1 0.0389 0.0389 0.9767  1 H 1.91
Ni1 0.5636 0.9822 0.5234  1 H 1.63
Ni2 0.9822 0.5636 0.5234  1 H 1.63
Ni3 0.5077 0.5077 0.5015  1 H 1.69
Ni4 0.9937 0.5540 0.9785  3 H 1.70-1.87
Ni5 0.0988 0.0988 0.4327  4 H 1.73-1.92
Ni6 0.5540 0.9937 0.9785  3 H 1.70-1.87
H1 0.5279 0.1544 0.1938  3 Ni 1.63-1.74
H2 0.7698 0.7698 0.7582  5 Ni 1.73-1.87
H3 0.1544 0.5278 0.1939  3 Ni 1.63-1.74
H4 0.3092 0.3092 0.9392  3 Ni 1.69-1.79

Computed properties:
The raw total energy is -5.16 eV/atom. Its space group is No. 8. The calculation puts the mass density at 7402 kg/m³.

=====

(4)
## MnNi2H5 (PBE)

Data for MnNi2H5 after structural relaxation.

Cell: 4.9071 4.9071 5.4447 Å, 116.78 116.78 90.00°
With the nearest neighbours (Å) after each atom.
Sites, in units of the cell vectors:
Mn1 0.7500 0.7500 0.5000  10 H 2.08-2.10
Mn2 0.2500 0.2500 0.5000  10 H 2.08-2.10
Ni1 0.1811 0.3189 0.0000  4 H 1.62-1.80
Ni2 0.6811 0.1811 0.0000  4 H 1.62-1.80
Ni3 0.3189 0.8189 0.0000  4 H 1.62-1.80
Ni4 0.8189 0.6811 0.0000  4 H 1.62-1.80
H1 0.5171 0.7056 0.7228  1 Ni 1.62
H2 0.7944 0.9829 0.2772  1 Ni 1.62
H3 0.0000 0.0000 0.0000  4 Ni 1.80
H4 0.5000 0.5000 0.0000  4 Ni 1.80
H5 0.2056 0.0171 0.7228  1 Ni 1.62
H6 0.7056 0.2056 0.7228  1 Ni 1.62
H7 0.0171 0.5171 0.7228  1 Ni 1.62
H8 0.2944 0.7944 0.2772  1 Ni 1.62
H9 0.9829 0.4829 0.2772  1 Ni 1.62
H10 0.4829 0.2944 0.2772  1 Ni 1.62

Computed properties:
The raw total energy is -4.60 eV/atom. Its space group is No. 140. The calculation puts the mass density at 5830 kg/m³.

=====

(5)
## MnNi2H (PBE)

Data for MnNi2H after structural relaxation.

Cell: 3.8826 3.8826 3.2024 Å, 90.00 90.00 120.00°
With the nearest neighbours (Å) after each atom.
Sites, in units of the cell vectors:
Mn1 0.0000 0.0000 0.5000  2 H 1.60
Ni1 0.3333 0.6667 0.0000  3 Ni 2.24, 3 H 2.24
Ni2 0.6667 0.3333 0.0000  3 Ni 2.24, 3 H 2.24
H1 0.0000 0.0000 0.0000  2 Mn 1.60

Computed properties:
The raw total energy is -5.67 eV/atom. As for the energy above the lowest structure with this stoichiometry: 248.7 meV per atom. Its space group is No. 191. The calculation puts the mass density at 6885 kg/m³.

=====

(6)
## MnNi5H6 (PBE)

Data for MnNi5H6 after structural relaxation.

Cell: 4.6078 4.6078 4.6032 Å, 99.62 99.62 120.18°
With the nearest neighbours (Å) after each atom.
Sites, in units of the cell vectors:
Mn1 0.0000 0.0000 0.0000  6 H 1.98-1.99
Ni1 0.8366 0.1634 0.5000  6 H 1.80-1.91
Ni2 0.6666 0.3334 0.0000  6 H 1.86-1.88
Ni3 0.5000 0.5000 0.5000  6 H 1.77-1.90
Ni4 0.3334 0.6666 0.0000  6 H 1.86-1.88
Ni5 0.1634 0.8366 0.5000  6 H 1.80-1.91
H1 0.9123 0.5586 0.7414  5 Ni 1.80-1.91, 1 Mn 1.98
H2 0.4414 0.0877 0.2586  5 Ni 1.80-1.91, 1 Mn 1.98
H3 0.7358 0.7358 0.2656  5 Ni 1.77-1.88
H4 0.2642 0.2642 0.7344  5 Ni 1.77-1.88
H5 0.5586 0.9123 0.7414  5 Ni 1.80-1.91, 1 Mn 1.98
H6 0.0877 0.4414 0.2586  5 Ni 1.80-1.91, 1 Mn 1.98

Computed properties:
The raw total energy is -4.91 eV/atom. Its space group is No. 12. The calculation puts the mass density at 7394 kg/m³.

=====

Number 1: V 7.6 Å³/atom, N(E_F) 4.12 states/eV/cell. Number 2: V 9.5 Å³/atom, N(E_F) 5.97 states/eV/cell. Number 3: V 8.4 Å³/atom, N(E_F) 7.82 states/eV/cell. Number 4: V 6.3 Å³/atom, N(E_F) 3.20 states/eV/cell. Number 5: V 10.5 Å³/atom, N(E_F) 2.71 states/eV/cell. Number 6: V 6.6 Å³/atom, N(E_F) 2.94 states/eV/cell.